Record 1
## Li2AlCu (GGA-PBEsol)

Data for an optimized crystal structure of Li2AlCu.

abc: 2.8859 2.8859 7.0112
angles: 90.00 90.00 90.00
Atoms (fractional coordinates):
Li 0.0000 0.0000 0.0000
Li 0.5000 0.5000 0.2970
Al 0.0000 0.0000 0.5668
Cu 0.5000 0.5000 0.7744

Summary:
Energy ... -3.2046 eV/atom
Formation energy from the elements ... -0.11 eV/atom
Spin magnetization ... 0.00 μB/cell
Density of states at the Fermi level ... 1.280 states/eV per cell

=====

Record 2
## LiAl2Cu (GGA-PBEsol)

Data for an optimized crystal structure of LiAl2Cu.

abc: 3.1868 3.1868 5.4787
angles: 90.00 90.00 90.00
Atoms (fractional coordinates):
Li 0.0000 0.0000 0.0000
Al 0.0000 0.0000 0.5337
Al 0.5000 0.5000 0.2457
Cu 0.5000 0.5000 0.7569

Summary:
Energy ... -3.7168 eV/atom
Formation energy from the elements ... -0.10 eV/atom
Spin magnetization ... 0.00 μB/cell
Density of states at the Fermi level ... 1.093 states/eV per cell

=====

Record 3
## LiAl2Cu (GGA-PBEsol)

Data for an optimized crystal structure of LiAl2Cu.

abc: 4.3002 4.3002 4.3002
angles: 60.00 60.00 60.00
Atoms (fractional coordinates):
Li 0.0000 0.0000 0.0000
Al 0.2500 0.2500 0.2500
Al 0.5000 0.5000 0.5000
Cu 0.7500 0.7500 0.7500

Summary:
Energy ... -3.7121 eV/atom
Formation energy from the elements ... -0.09 eV/atom
Spin magnetization ... 0.00 μB/cell
Density of states at the Fermi level ... 0.920 states/eV per cell

=====

Record 4
## LiAlCu2 (GGA-PBEsol)

Data for an optimized crystal structure of LiAlCu2.

abc: 2.6034 3.5771 5.3368
angles: 90.00 90.00 90.00
Atoms (fractional coordinates):
Li 0.0000 0.0000 0.0000
Al 0.0000 0.0000 0.5000
Cu 0.5000 0.5000 0.2500
Cu 0.5000 0.5000 0.7500

Summary:
Energy ... -3.8196 eV/atom
Formation energy from the elements ... -0.14 eV/atom
Spin magnetization ... 0.00 μB/cell
Density of states at the Fermi level ... 1.249 states/eV per cell

=====

Record 5
## Li2AlCu (GGA-PBEsol)

Data for an optimized crystal structure of Li2AlCu.

abc: 2.8702 4.1982 4.4953
angles: 90.00 90.00 90.00
Atoms (fractional coordinates):
Li 0.0000 0.0000 0.0000
Li 0.5000 0.5000 0.0000
Al 0.0000 0.5000 0.5000
Cu 0.5000 0.0000 0.5000

Summary:
Energy ... -3.2085 eV/atom
Formation energy from the elements ... -0.12 eV/atom
Spin magnetization ... 0.00 μB/cell
Density of states at the Fermi level ... 1.375 states/eV per cell

=====

Record 6
## LiAlCu2 (GGA-PBEsol)

Data for an optimized crystal structure of LiAlCu2.

abc: 2.9139 2.9139 5.7851
angles: 90.00 90.00 90.00
Atoms (fractional coordinates):
Li 0.0000 0.0000 0.0000
Al 0.0000 0.0000 0.5000
Cu 0.5000 0.5000 0.2461
Cu 0.5000 0.5000 0.7539

Summary:
Energy ... -3.8226 eV/atom
Formation energy from the elements ... -0.14 eV/atom
Spin magnetization ... 0.00 μB/cell
Density of states at the Fermi level ... 1.145 states/eV per cell

=====

Record 7
## LiAl2Cu (GGA-PBEsol)

Data for an optimized crystal structure of LiAl2Cu.

abc: 4.2279 4.2279 4.2279
angles: 60.00 60.00 60.00
Atoms (fractional coordinates):
Li 0.0000 0.0000 0.0000
Al 0.2500 0.2500 0.2500
Al 0.7500 0.7500 0.7500
Cu 0.5000 0.5000 0.5000

Summary:
Energy ... -3.8139 eV/atom
Formation energy from the elements ... -0.19 eV/atom
Spin magnetization ... 0.00 μB/cell
Density of states at the Fermi level ... 0.854 states/eV per cell

=====

Record 8
## LiAl2Cu (GGA-PBEsol)

Data for an optimized crystal structure of LiAl2Cu.

abc: 2.7049 3.6595 5.6254
angles: 90.00 90.00 90.00
Atoms (fractional coordinates):
Li 0.0000 0.0000 0.0000
Al 0.5000 0.5000 0.2575
Al 0.5000 0.5000 0.7425
Cu 0.0000 0.0000 0.5000

Summary:
Energy ... -3.7462 eV/atom
Formation energy from the elements ... -0.13 eV/atom
Spin magnetization ... 0.00 μB/cell
Density of states at the Fermi level ... 0.896 states/eV per cell

=====

Record 9
## LiAlCu (GGA-PBEsol)

Data for an optimized crystal structure of LiAlCu.

abc: 4.1829 4.1829 2.5477
angles: 90.00 90.00 120.00
Atoms (fractional coordinates):
Li 0.0000 0.0000 0.0000
Al 0.3333 0.6667 0.4097
Cu 0.6667 0.3333 0.8341

Summary:
Energy ... -3.6299 eV/atom
Formation energy from the elements ... -0.17 eV/atom
Spin magnetization ... 0.00 μB/cell
Density of states at the Fermi level ... 0.467 states/eV per cell

=====

Record 10
## LiAl2Cu (GGA-PBEsol)

Data for an optimized crystal structure of LiAl2Cu.

abc: 3.9921 3.9921 3.4264
angles: 90.00 90.00 90.00
Atoms (fractional coordinates):
Li 0.0000 0.0000 0.0000
Al 0.0000 0.5000 0.5000
Al 0.5000 0.0000 0.5000
Cu 0.5000 0.5000 0.0000

Summary:
Energy ... -3.7681 eV/atom
Formation energy from the elements ... -0.15 eV/atom
Spin magnetization ... 0.00 μB/cell
Density of states at the Fermi level ... 0.948 states/eV per cell

=====

Record 11
## LuAl6Cu6 (GGA-PBEsol)

Data for an optimized crystal structure of LuAl6Cu6.

abc: 6.5315 6.5315 6.5315
angles: 135.34 99.14 97.46
Atoms (fractional coordinates):
Lu 0.0000 0.0000 0.0000
Al 0.1958 0.6958 0.5000
Al 0.3446 0.0000 0.3446
Al 0.3470 0.3470 0.0000
Al 0.6530 0.6530 0.0000
Al 0.6554 0.0000 0.6554
Al 0.8042 0.3042 0.5000
Cu 0.0000 0.0000 0.5000
Cu 0.0000 0.5000 0.0000
Cu 0.2304 0.5000 0.7304
Cu 0.5000 0.0000 0.0000
Cu 0.5000 0.5000 0.5000
Cu 0.7696 0.5000 0.2696

Summary:
Energy ... -4.6109 eV/atom
Formation energy from the elements ... -0.35 eV/atom
Spin magnetization ... 0.05 μB/cell
Density of states at the Fermi level ... 3.464 states/eV per cell

=====

Record 12
## LuAlCu2 (GGA-PBEsol)

Data for an optimized crystal structure of LuAlCu2.

abc: 4.4278 4.4278 4.4278
angles: 60.00 60.00 60.00
Atoms (fractional coordinates):
Lu 0.0000 0.0000 0.0000
Al 0.5000 0.5000 0.5000
Cu 0.2500 0.2500 0.2500
Cu 0.7500 0.7500 0.7500

Summary:
Energy ... -4.7994 eV/atom
Formation energy from the elements ... -0.39 eV/atom
Spin magnetization ... 0.00 μB/cell
Density of states at the Fermi level ... 1.436 states/eV per cell